VASP calculation (PBE-GGA) on KBe2P after structural relaxation.

Unit cell a=5.539 b=5.539 c=5.539 alpha=141.93 beta=102.33 gamma=89.96
Sites, in units of the cell vectors:
K 0.000 0.000 0.000
Be 0.483 0.483 0.000
Be 0.612 0.112 0.500
P 0.354 0.854 0.500

Output
E ... -3.25 eV per atom
SG ... Imm2
Crystal system ... orthorhombic


VASP calculation (PBE-GGA) on Li3Hf3CrS8 after structural relaxation.

Unit cell a=7.474 b=7.474 c=7.474 alpha=56.89 beta=56.89 gamma=56.89
Sites, in units of the cell vectors:
Li 0.000 0.500 0.500
Li 0.500 0.000 0.500
Li 0.500 0.500 0.000
Hf 0.000 0.000 0.500
Hf 0.000 0.500 0.000
Hf 0.500 0.000 0.000
Cr 0.500 0.500 0.500
S 0.249 0.249 0.249
S 0.258 0.738 0.738
S 0.262 0.262 0.742
S 0.262 0.742 0.262
S 0.738 0.258 0.738
S 0.738 0.738 0.258
S 0.742 0.262 0.262
S 0.751 0.751 0.751

Output
E ... -6.61 eV per atom
SG ... R-3m
Crystal system ... trigonal
ΔE_f (raw) ... -1392.3 meV per atom


VASP calculation (PBE-GGA) on H2Pd8Pt after structural relaxation.

Unit cell a=5.383 b=5.383 c=6.648 alpha=109.04 beta=109.04 gamma=61.63
Sites, in units of the cell vectors:
H 0.234 0.234 0.442
H 0.766 0.766 0.558
Pd 0.162 0.661 0.632
Pd 0.190 0.190 0.772
Pd 0.296 0.296 0.206
Pd 0.339 0.838 0.368
Pd 0.661 0.162 0.632
Pd 0.704 0.704 0.794
Pd 0.810 0.810 0.228
Pd 0.838 0.339 0.368
Pt 0.500 0.500 0.000

Output
E ... -4.80 eV per atom
SG ... C2/m
Crystal system ... monoclinic


VASP calculation (PBE-GGA) on Zn2ReCl after structural relaxation.

Unit cell a=2.733 b=4.572 c=5.407 alpha=90.00 beta=90.00 gamma=90.00
Sites, in units of the cell vectors:
Zn 0.000 0.000 0.000
Zn 0.500 0.500 0.361
Re 0.500 0.500 0.878
Cl 0.000 0.000 0.489

Output
E ... -3.63 eV per atom
SG ... Pmm2
Offset from the most stable computed form ... 0.425 eV/atom
Crystal system ... orthorhombic
ΔE_f (raw) ... 584.9 meV per atom


VASP calculation (PBE-GGA) on ZnGeRh after structural relaxation.

Unit cell a=4.158 b=4.158 c=4.158 alpha=60.00 beta=60.00 gamma=60.00
Sites, in units of the cell vectors:
Zn 0.000 0.000 0.000
Ge 0.500 0.500 0.500
Rh 0.750 0.750 0.750

Output
E ... -4.68 eV per atom
SG ... F-43m
Crystal system ... cubic


VASP calculation (PBE-GGA) on BaCaBr2 after structural relaxation.

Unit cell a=4.001 b=4.001 c=10.757 alpha=90.00 beta=90.00 gamma=90.00
Sites, in units of the cell vectors:
Ba 0.000 0.000 0.000
Ca 0.000 0.000 0.500
Br 0.500 0.500 0.170
Br 0.500 0.500 0.830

Output
E ... -3.11 eV per atom
SG ... P4/mmm
Offset from the most stable computed form ... 0.151 eV/atom
Crystal system ... tetragonal
ΔE_f (raw) ... -1293.5 meV per atom


VASP calculation (PBE-GGA) on Sr3CaO4 after structural relaxation.

Unit cell a=5.127 b=5.127 c=5.127 alpha=90.00 beta=90.00 gamma=90.00
Sites, in units of the cell vectors:
Sr 0.000 0.000 0.500
Sr 0.000 0.500 0.000
Sr 0.500 0.000 0.000
Ca 0.500 0.500 0.500
O 0.000 0.000 0.000
O 0.000 0.500 0.500
O 0.500 0.000 0.500
O 0.500 0.500 0.000

Output
E ... -6.11 eV per atom
SG ... Pm-3m
Crystal system ... cubic
ΔE_f (raw) ... -2755.0 meV per atom


VASP calculation (PBE-GGA) on PmGdYPu after structural relaxation.

Unit cell a=5.638 b=5.638 c=5.638 alpha=60.00 beta=60.00 gamma=60.00
Sites, in units of the cell vectors:
Pm 0.000 0.000 0.000
Gd 0.500 0.500 0.500
Y 0.750 0.750 0.750
Pu 0.250 0.250 0.250

Output
E ... -9.70 eV per atom
SG ... F-43m
Crystal system ... cubic


VASP calculation (PBE-GGA) on Y3Bi after structural relaxation.

Unit cell a=6.933 b=6.933 c=5.671 alpha=90.00 beta=90.00 gamma=120.00
Sites, in units of the cell vectors:
Y 0.168 0.337 0.250
Y 0.168 0.832 0.250
Y 0.337 0.168 0.750
Y 0.663 0.832 0.250
Y 0.832 0.168 0.750
Y 0.832 0.663 0.750
Bi 0.333 0.667 0.750
Bi 0.667 0.333 0.250

Output
E ... -6.15 eV per atom
SG ... P6_3/mmc
Crystal system ... hexagonal


VASP calculation (PBE-GGA) on LiNd2Sm2 after structural relaxation.

Unit cell a=9.463 b=9.463 c=9.463 alpha=152.79 beta=152.79 gamma=38.87
Sites, in units of the cell vectors:
Li 0.000 0.000 0.000
Nd 0.410 0.410 0.000
Nd 0.590 0.590 0.000
Sm 0.250 0.750 0.500
Sm 0.750 0.250 0.500

Output
E ... -3.74 eV per atom
SG ... I4/mmm
Crystal system ... tetragonal


VASP calculation (PBE-GGA) on BaBe3F after structural relaxation.

Unit cell a=4.670 b=4.670 c=4.670 alpha=90.00 beta=90.00 gamma=90.00
Sites, in units of the cell vectors:
Ba 0.000 0.000 0.000
Be 0.000 0.500 0.500
Be 0.500 0.000 0.500
Be 0.500 0.500 0.000
F 0.500 0.500 0.500

Output
E ... -2.37 eV per atom
SG ... Pm-3m
Offset from the most stable computed form ... 0.000 eV/atom
Crystal system ... cubic
ΔE_f (raw) ... 627.3 meV per atom


VASP calculation (PBE-GGA) on LaNiSbPb2 after structural relaxation.

Unit cell a=5.776 b=5.776 c=6.022 alpha=90.00 beta=90.00 gamma=90.00
Sites, in units of the cell vectors:
La 0.000 0.000 0.000
Ni 0.500 0.500 0.000
Sb 0.000 0.000 0.500
Pb 0.000 0.500 0.500
Pb 0.500 0.000 0.500

Output
E ... -3.66 eV per atom
SG ... P4/mmm
Crystal system ... tetragonal
ΔE_f (raw) ... 792.7 meV per atom